DyPuB | PBE | relaxed Values from VASP.

Calculated values
Offset from the most stable computed form in kJ/mol of atoms: 0.00
Size of the total moment in Bohr magnetons per cell: 5.9

Cell and atoms, written as Quantum ESPRESSO input:
```
&SYSTEM
  ibrav = 0, nat = 3, ntyp = 3
/
ATOMIC_SPECIES
B 10.81 B.upf
Dy 162.50 Dy.upf
Pu 244.00 Pu.upf
CELL_PARAMETERS angstrom
-1.2849 -3.9272 1.6430
-3.3935 -2.1871 -1.8640
0.7546 -3.7281 -2.3034
ATOMIC_POSITIONS angstrom
B 0.0000 0.0000 0.0000
Dy -0.9809 -2.4606 -0.6311
Pu -2.9428 -7.3818 -1.8933
```

Rb3Dy3B2 | PBE | relaxed Values from VASP.

Calculated values
Size of the total moment in Bohr magnetons per cell: 0.4
Energy in Ry/atom: -0.177

Cell and atoms, written as Quantum ESPRESSO input:
```
&SYSTEM
  ibrav = 0, nat = 8, ntyp = 3
/
ATOMIC_SPECIES
Dy 162.50 Dy.upf
Rb 85.47 Rb.upf
B 10.81 B.upf
CELL_PARAMETERS angstrom
4.7418 0.0000 0.0000
0.0000 4.7418 0.0000
0.0000 0.0000 13.4747
ATOMIC_POSITIONS angstrom
Dy 0.0000 0.0000 6.7373
Rb 0.0000 0.0000 0.0000
Dy 0.0000 0.0000 10.0100
B 0.0000 2.3709 2.4055
Dy 0.0000 0.0000 3.4647
Rb 2.3709 2.3709 0.0000
Rb 2.3709 2.3709 6.7373
B 2.3709 0.0000 11.0692
```